This record from Alexandria via LeMat-Bulk describes an optimized crystal structure of ScTl2Br. The functional is PBE-GGA.

Unit cell a=3.3813 b=3.3813 c=9.9549 alpha=90.00 beta=90.00 gamma=90.00
Fractional positions:
Sc (0.0000, 0.0000, 0.0000)
Tl (0.0000, 0.0000, 0.4738)
Tl (0.5000, 0.5000, 0.2172)
Br (0.5000, 0.5000, 0.8392)

Values from the calculation:
- Total moment: 0.50 Bohr magnetons per cell
- E_form (uncorrected): -0.502 eV/atom
- Energy above the lowest structure with this stoichiometry: 0.058 eV per atom